--- A ---
Compound: Ga2Ni5Pt
Source: Alexandria via LeMat-Bulk
Functional: PBE
Structure: relaxed

Unit cell a=5.181 b=5.181 c=5.181 alpha=120.09 beta=120.09 gamma=89.84
Fractional positions:
Ga: 0.000 0.500 0.500
Ga: 0.500 0.000 0.500
Ni: 0.499 0.499 0.000
Ni: 0.500 0.500 0.501
Ni: 0.500 0.999 0.000
Ni: 0.999 0.500 0.000
Ni: 0.999 0.999 0.499
Pt: 0.000 0.000 0.000

--- B ---
Compound: Ga2Ni5Pt
Source: Alexandria via LeMat-Bulk
Functional: PBE
Structure: relaxed

Unit cell a=5.183 b=10.340 c=3.647 alpha=90.00 beta=90.00 gamma=90.00
Fractional positions:
Ga: 0.244 0.129 0.000
Ga: 0.256 0.629 0.000
Ga: 0.744 0.371 0.000
Ga: 0.756 0.871 0.000
Ni: 0.000 0.000 0.500
Ni: 0.006 0.247 0.500
Ni: 0.240 0.870 0.000
Ni: 0.260 0.370 0.000
Ni: 0.494 0.747 0.500
Ni: 0.500 0.500 0.500
Ni: 0.506 0.253 0.500
Ni: 0.740 0.630 0.000
Ni: 0.760 0.130 0.000
Ni: 0.994 0.753 0.500
Pt: 0.000 0.500 0.500
Pt: 0.500 0.000 0.500

It is A that is the least stable of them.